4
Lattice="-2.691 3.774 -2.647 -5.312 -0.307 -0.419 -3.091 3.440 2.666" Properties=species:S:1:pos:R:3 comment="TbCeInAg | Alexandria via LeMat-Bulk | PBE | relaxed" dft_energy_ev_per_atom=-4.307 ef_ev_per_atom=-0.269 sg="F-43m (216)" pbc="T T T"
In -8.321 5.180 -0.300
Ce -5.547 3.453 -0.200
Ag -2.774 1.727 -0.100
Tb 0.000 0.000 0.000



20
Lattice="8.553 1.222 1.835 -1.204 8.556 1.835 -1.204 -1.602 8.602" Properties=species:S:1:pos:R:3 comment="Pm7Sm12Mg | Alexandria via LeMat-Bulk | PBE | relaxed" de_polymorph_mev_per_atom=0 dft_energy_ev_per_atom=-4.380 ef_ev_per_atom=0.194 sg="R-3 (148)" pbc="T T T"
Pm 5.433 4.749 10.632
Pm -0.012 0.738 3.794
Pm 0.712 3.427 1.640
Pm 3.072 4.088 6.136
Pm 3.094 0.883 2.142
Pm 3.051 7.293 10.130
Pm 6.157 7.438 8.478
Sm -0.157 3.446 6.455
Sm 5.916 2.939 3.048
Sm 1.654 7.040 6.605
Sm 1.178 0.309 7.173
Sm 4.967 7.867 5.099
Sm 4.491 1.136 5.667
Sm 3.354 5.646 3.231
Sm 2.791 2.530 9.041
Sm 6.302 4.730 5.817
Sm -0.030 6.150 3.887
Sm 6.175 2.026 8.385
Sm 0.229 5.237 9.224
Mg 0.000 0.000 0.000



4
Lattice="4.961 -0.005 0.002 2.141 4.475 -0.002 -2.968 -3.161 2.410" Properties=species:S:1:pos:R:3 comment="LiReRu2 | Alexandria via LeMat-Bulk | PBE | relaxed" de_polymorph_mev_per_atom=248 dft_energy_ev_per_atom=-7.970 ef_ev_per_atom=0.259 sg="Immm (71)" pbc="T T T"
Ru 3.610 2.272 0.000
Ru 7.043 4.433 0.000
Li 2.772 -0.466 1.206
Re 1.362 1.775 1.204



DOS at the Fermi energy values, unit states/eV/atom, following the record order: 2.68; 1.62; 0.98.